A geometry-optimized HfCd2Pt structure. Source: OQMD via LeMat-Bulk, functional PBE-GGA.

The value obtained for the magnetic moment is 0.001 μB per formula unit. For the formation enthalpy at 0 K, the calculation gives -0.37 eV per atom. Its calculated total energy is -4.82 eV/atom.

The space group is F-43m (No. 216) and the conventional cell measures 6.6936, 6.6936 and 6.6936 Å, with angles of 90.00, 90.00 and 90.00 degrees. The asymmetric unit holds Hf at (0.0000, 0.0000, 0.0000), Cd at (0.0000, 0.0000, 0.5000), Cd at (0.2500, 0.2500, 0.2500) and Pt at (0.2500, 0.2500, 0.7500).